[1]
{
  "formula": "Sm6Se3S2",
  "functional": "PBE-GGA",
  "state": "optimized geometry",
  "formation_energy_uncorrected_mev_per_atom": -1705,
  "volume_a3_per_cell": 286.5,
  "energy_ev_per_atom": -5.980,
  "cell": [[2.0285, 1.1711, 20.1014], [-2.0285, 1.1711, 20.1014], [0.0000, -2.3423, 20.1014]],
  "species": ["Sm", "Sm", "Sm", "Sm", "Sm", "Sm", "Se", "Se", "Se", "S", "S"],
  "fractional_positions": [[0.0894, 0.0894, 0.0894], [0.1921, 0.1921, 0.1921], [0.3616, 0.3616, 0.3616], [0.6384, 0.6384, 0.6384], [0.8079, 0.8079, 0.8079], [0.9106, 0.9106, 0.9106], [0.0000, 0.0000, 0.0000], [0.2746, 0.2746, 0.2746], [0.7254, 0.7254, 0.7254], [0.4484, 0.4484, 0.4484], [0.5516, 0.5516, 0.5516]]
}


[2]
{
  "formula": "CsLi2SbCl8",
  "functional": "PBE-GGA",
  "state": "optimized geometry",
  "formation_energy_uncorrected_mev_per_atom": -1269,
  "volume_a3_per_cell": 394.9,
  "energy_ev_per_atom": -3.234,
  "cell": [[6.2589, 0.0000, 0.0000], [-0.2995, 7.3671, 0.0000], [-0.8533, -1.9964, 8.5647]],
  "species": ["Cs", "Li", "Li", "Sb", "Cl", "Cl", "Cl", "Cl", "Cl", "Cl", "Cl", "Cl"],
  "fractional_positions": [[0.0000, 0.0000, 0.0000], [0.4927, 0.4782, 0.8308], [0.5073, 0.5218, 0.1692], [0.0000, 0.5000, 0.5000], [0.1162, 0.4988, 0.2437], [0.1975, 0.7916, 0.6078], [0.3074, 0.3320, 0.5659], [0.4906, 0.7468, 0.0238], [0.5094, 0.2532, 0.9762], [0.6926, 0.6680, 0.4341], [0.8025, 0.2084, 0.3922], [0.8838, 0.5012, 0.7563]]
}


[3]
{
  "formula": "CsSrF3",
  "functional": "PBE-GGA",
  "state": "optimized geometry",
  "e_above_lowest_polymorph_mev_per_atom": 728,
  "formation_energy_uncorrected_mev_per_atom": -2705,
  "volume_a3_per_cell": 117.0,
  "energy_ev_per_atom": -4.335,
  "cell": [[2.6364, 1.5221, 4.8579], [-2.6364, 1.5221, 4.8579], [0.0000, -3.0443, 4.8579]],
  "species": ["Cs", "Sr", "F", "F", "F"],
  "fractional_positions": [[0.0000, 0.0000, 0.0000], [0.5000, 0.5000, 0.5000], [0.0000, 0.0000, 0.5000], [0.0000, 0.5000, 0.0000], [0.5000, 0.0000, 0.0000]]
}


[4]
{
  "formula": "CaMg3Tl6",
  "functional": "PBE-GGA",
  "state": "optimized geometry",
  "volume_a3_per_cell": 555.4,
  "energy_ev_per_atom": -2.159,
  "cell": [[4.6973, -7.7470, 0.0000], [4.6973, 7.7470, 0.0000], [0.0000, 0.0000, 7.6306]],
  "species": ["Ca", "Ca", "Mg", "Mg", "Mg", "Mg", "Mg", "Mg", "Tl", "Tl", "Tl", "Tl", "Tl", "Tl", "Tl", "Tl", "Tl", "Tl", "Tl", "Tl"],
  "fractional_positions": [[0.1791, 0.8209, 0.5000], [0.8209, 0.1791, 0.0000], [0.0420, 0.3004, 0.3970], [0.3004, 0.0420, 0.8970], [0.4030, 0.5970, 0.4194], [0.5970, 0.4030, 0.9194], [0.6996, 0.9580, 0.3970], [0.9580, 0.6996, 0.8970], [0.0242, 0.9758, 0.2172], [0.1378, 0.4933, 0.7426], [0.2676, 0.3520, 0.0685], [0.2731, 0.7269, 0.1095], [0.3520, 0.2676, 0.5685], [0.4933, 0.1378, 0.2426], [0.5067, 0.8622, 0.7426], [0.6480, 0.7324, 0.0685], [0.7269, 0.2731, 0.6095], [0.7324, 0.6480, 0.5685], [0.8622, 0.5067, 0.2426], [0.9758, 0.0242, 0.7172]]
}


[5]
{
  "formula": "Mn2FeBr",
  "functional": "PBE-GGA",
  "state": "optimized geometry",
  "e_above_lowest_polymorph_mev_per_atom": 300,
  "formation_energy_uncorrected_mev_per_atom": 663,
  "volume_a3_per_cell": 62.9,
  "energy_ev_per_atom": -6.456,
  "cell": [[-1.5905, 2.3256, 4.2512], [1.5905, -2.3256, 4.2512], [1.5905, 2.3256, -4.2512]],
  "species": ["Mn", "Mn", "Fe", "Br"],
  "fractional_positions": [[0.2421, 0.2421, 0.0000], [0.7579, 0.7579, 0.0000], [0.0000, 0.5000, 0.5000], [0.5000, 0.0000, 0.5000]]
}


[6]
{
  "formula": "VTcH2",
  "functional": "PBE-GGA",
  "state": "optimized geometry",
  "e_above_lowest_polymorph_mev_per_atom": 0,
  "volume_a3_per_cell": 31.6,
  "energy_ev_per_atom": -6.662,
  "cell": [[1.4162, 0.8176, 4.5542], [-1.4162, 0.8176, 4.5542], [0.0000, -1.6352, 4.5542]],
  "species": ["V", "Tc", "H", "H"],
  "fractional_positions": [[0.0000, 0.0000, 0.0000], [0.5000, 0.5000, 0.5000], [0.2529, 0.2529, 0.2529], [0.7471, 0.7471, 0.7471]]
}


[7]
{
  "formula": "La2Ho3S4",
  "functional": "PBE-GGA",
  "state": "optimized geometry",
  "formation_energy_uncorrected_mev_per_atom": -1789,
  "volume_a3_per_cell": 219.3,
  "energy_ev_per_atom": -6.244,
  "cell": [[6.5072, -1.9590, 0.0000], [6.5072, 1.9590, 0.0000], [-4.6356, 0.0000, 8.5999]],
  "species": ["La", "La", "Ho", "Ho", "Ho", "S", "S", "S", "S"],
  "fractional_positions": [[0.0984, 0.0984, 0.4052], [0.9016, 0.9016, 0.5948], [0.2936, 0.2936, 0.1911], [0.5000, 0.5000, 0.0000], [0.7064, 0.7064, 0.8089], [0.1045, 0.1045, 0.9077], [0.3027, 0.3027, 0.7148], [0.6973, 0.6973, 0.2852], [0.8955, 0.8955, 0.0923]]
}


[8]
{
  "formula": "Tm2Al2ZnNi5",
  "functional": "PBE-GGA",
  "state": "optimized geometry",
  "volume_a3_per_cell": 302.5,
  "energy_ev_per_atom": -5.009,
  "cell": [[9.7005, 0.0000, 0.0000], [0.0000, 9.7005, 0.0000], [0.0000, 0.0000, 3.2151]],
  "species": ["Tm", "Tm", "Tm", "Tm", "Al", "Al", "Al", "Al", "Zn", "Zn", "Ni", "Ni", "Ni", "Ni", "Ni", "Ni", "Ni", "Ni", "Ni", "Ni"],
  "fractional_positions": [[0.1749, 0.3251, 0.0000], [0.3251, 0.8251, 0.0000], [0.6749, 0.1749, 0.0000], [0.8251, 0.6749, 0.0000], [0.1243, 0.6243, 0.0000], [0.3757, 0.1243, 0.0000], [0.6243, 0.8757, 0.0000], [0.8757, 0.3757, 0.0000], [0.0000, 0.0000, 0.0000], [0.5000, 0.5000, 0.0000], [0.0000, 0.5000, 0.5000], [0.0539, 0.8002, 0.5000], [0.1998, 0.0539, 0.5000], [0.3002, 0.5539, 0.5000], [0.4461, 0.3002, 0.5000], [0.5000, 0.0000, 0.5000], [0.5539, 0.6998, 0.5000], [0.6998, 0.4461, 0.5000], [0.8002, 0.9461, 0.5000], [0.9461, 0.1998, 0.5000]]
}